Below is an optimized crystal structure of BaSb3Pd2, with properties calculated at the GGA-PBE level.

The space group is R-3m (No. 166, hexagonal axes) and the conventional cell measures 8.6346, 8.6346 and 16.7695 Å, with angles of 90.00, 90.00 and 120.00 degrees. The distinct sites, in fractional coordinates, are Ba at (0.0000, 0.0000, 0.2138), Sb at (0.0074, 0.5037, 0.2707), Pd at (0.0000, 0.0000, 0.0000) and Pd at (0.0000, 0.5000, 0.0000).

The calculation puts the density of states at the Fermi level at 17.474 states/eV per cell. Its spin magnetization is 0.00 μB per atom. The calculation puts the volume at 1082.8 Å³ per cell. As for the uncorrected formation energy: -0.568 eV/atom. The total energy is -4.6806 eV per atom.


Below is an optimized crystal structure of SrLi2LaPd, with properties calculated at the GGA-PBE level.

The space group is P4/mmm (No. 123) and the conventional cell measures 5.320, 5.320 and 5.376 Å, with angles of 90.00, 90.00 and 90.00 degrees. The distinct sites, in fractional coordinates, are Sr at (0.000, 0.000, 0.000), Li at (0.000, 0.500, 0.500), La at (0.500, 0.500, 0.000) and Pd at (0.500, 0.500, 0.500).

The calculation puts the density of states at the Fermi level at 4.729 states/eV per cell. The formation energy is -0.13 eV/atom. Its spin magnetization is 0.00 μB per atom. The calculation puts the volume at 152.2 Å³ per cell. The total energy is -3.2546 eV per atom.


Below is an optimized crystal structure of Th2AlSi3Rh4, with properties calculated at the GGA-PBE level.

The space group is P-4m2 (No. 115) and the conventional cell measures 4.162, 4.162 and 10.182 Å, with angles of 90.00, 90.00 and 90.00 degrees. The distinct sites, in fractional coordinates, are Th at (0.000, 0.500, 0.248), Al at (0.500, 0.500, 0.000), Si at (0.000, 0.000, 0.000), Si at (0.000, 0.500, 0.627), Rh at (0.000, 0.000, 0.500), Rh at (0.000, 0.500, 0.864) and Rh at (0.500, 0.500, 0.500).

The calculation puts the density of states at the Fermi level at 5.939 states/eV per cell. Its spin magnetization is 0.00 μB per atom. The calculation puts the volume at 176.4 Å³ per cell. As for the uncorrected formation energy: -1.064 eV/atom. The total energy is -7.4896 eV per atom.


Below is an optimized crystal structure of La3GaNi, with properties calculated at the GGA-PBE level.

The space group is Pm-3m (No. 221) and the conventional cell measures 5.596, 5.596 and 5.596 Å, with angles of 90.00, 90.00 and 90.00 degrees. The distinct sites, in fractional coordinates, are La at (0.000, 0.000, 0.500), Ga at (0.500, 0.500, 0.500) and Ni at (0.000, 0.000, 0.000).

The calculation puts the density of states at the Fermi level at 10.019 states/eV per cell. The formation energy is -0.09 eV/atom. Its spin magnetization is 0.00 μB per atom. The calculation puts the volume at 175.3 Å³ per cell. The total energy is -4.8130 eV per atom.


Below is an optimized crystal structure of YSi2Se, with properties calculated at the GGA-PBE level.

The space group is I-4m2 (No. 119) and the conventional cell measures 4.120, 4.120 and 9.457 Å, with angles of 90.00, 90.00 and 90.00 degrees. The distinct sites, in fractional coordinates, are Y at (0.000, 0.000, 0.000), Si at (0.000, 0.000, 0.500), Si at (0.000, 0.500, 0.250) and Se at (0.000, 0.500, 0.750).

The calculation puts the density of states at the Fermi level at 4.404 states/eV per cell. Its spin magnetization is 0.00 μB per atom. The calculation puts the volume at 160.6 Å³ per cell. As for the uncorrected formation energy: -0.211 eV/atom. The total energy is -5.4092 eV per atom.


Below is an optimized crystal structure of Ba2Sn2Pd, with properties calculated at the GGA-PBE level.

The space group is Amm2 (No. 38) and the conventional cell measures 4.854, 4.639 and 14.668 Å, with angles of 90.00, 90.00 and 90.00 degrees. The distinct sites, in fractional coordinates, are Ba at (0.000, 0.000, 0.000), Ba at (0.000, 0.000, 0.249), Sn at (0.500, 0.000, 0.621), Sn at (0.500, 0.000, 0.826) and Pd at (0.500, 0.000, 0.428).

The calculation puts the density of states at the Fermi level at 6.399 states/eV per cell. The formation energy is -0.61 eV/atom. Its spin magnetization is 0.00 μB per atom. The calculation puts the volume at 330.3 Å³ per cell. The total energy is -4.0237 eV per atom.